(1)
VASP calculation (GGA-PBEsol) on Y2OsPb after structural relaxation.

Lattice parameters (Å, degrees): 4.5521 3.7515 11.0184 90.00 90.00 90.00
Closest atoms and distances in Å follow each position.
Space group Amm2 (No. 38)
Asymmetric unit:
Y (0.0000, 0.0000, 0.0000) [2 per cell]  4 Os 3.02, 3 Pb 3.05-3.11
Y (0.5000, 0.0000, 0.2979) [2 per cell]  3 Os 2.90-3.22, 4 Pb 3.08
Os (0.5000, 0.0000, 0.5609) [2 per cell]  2 Pb 2.86, 5 Y 2.90-3.02
Pb (0.0000, 0.0000, 0.7182) [2 per cell]  2 Os 2.86, 7 Y 3.05-3.11

## Properties
The total DFT energy (no corrections) comes out at -7.6319 eV/atom. The formation energy from the elements comes out at -167 meV per atom.

***

(2)
VASP calculation (GGA-PBEsol) on CuTePbI2 after structural relaxation.

Lattice parameters (Å, degrees): 5.9943 5.9943 5.8296 90.00 90.00 90.00
Closest atoms and distances in Å follow each position.
Space group P4/mmm (No. 123)
Asymmetric unit:
Cu (0.0000, 0.0000, 0.0000) [1 per cell]  8 I 4.18, 4 Te 4.24
Te (0.5000, 0.5000, 0.0000) [1 per cell]  2 Pb 2.91
Pb (0.5000, 0.5000, 0.5000) [1 per cell]  2 Te 2.91, 4 I 3.00
I (0.0000, 0.5000, 0.5000) [2 per cell]  2 Pb 3.00

## Properties
The total DFT energy (no corrections) comes out at -2.4002 eV/atom. The raw formation energy comes out at 0.678 eV/atom.

***

(3)
VASP calculation (GGA-PBEsol) on NaPt after structural relaxation.

Lattice parameters (Å, degrees): 10.3047 2.7508 7.4698 90.00 104.35 90.00
Closest atoms and distances in Å follow each position.
Space group Cm (No. 8)
Asymmetric unit:
Na (0.0000, 0.0000, 0.0000) [2 per cell]  7 Pt 2.71-3.01, 2 Na 2.75
Na (0.0545, 0.0000, 0.5929) [2 per cell]  3 Na 2.54-2.75
Na (0.3067, 0.0000, 0.6387) [2 per cell]  3 Na 2.54-2.75
Pt (0.1528, 0.5000, 0.3056) [2 per cell]  6 Pt 2.72-2.94, 6 Na 2.79-2.94
Pt (0.2310, 0.5000, 0.9528) [2 per cell]  5 Na 2.71-2.99, 5 Pt 2.75-2.94
Pt (0.3738, 0.0000, 0.2731) [2 per cell]  7 Pt 2.72-2.83, 5 Na 2.98-3.01

## Properties
The total DFT energy (no corrections) comes out at -4.1543 eV/atom. The formation energy from the elements comes out at 27 meV per atom.

***

(4)
VASP calculation (GGA-PBEsol) on Li4Cr3Co3Sn2O16 after structural relaxation.

Lattice parameters (Å, degrees): 9.8848 5.7465 9.5226 90.00 90.65 90.00
Closest atoms and distances in Å follow each position.
Space group Cm (No. 8)
Asymmetric unit:
Li (0.0000, 0.0000, 0.0000) [2 per cell]  4 O 1.80-1.89
Li (0.0017, 0.0000, 0.4984) [2 per cell]  4 O 1.80-1.92
Li (0.1644, 0.5000, 0.9033) [2 per cell]  4 O 1.88-2.01
Li (0.3305, 0.0000, 0.3964) [2 per cell]  4 O 1.88-2.04
Cr (0.3254, 0.5000, 0.2207) [2 per cell]  6 O 1.91-1.95
Cr (0.4129, 0.2415, 0.7208) [4 per cell]  6 O 1.91-1.96
Co (0.0839, 0.2543, 0.2196) [4 per cell]  6 O 1.89-1.93
Co (0.1691, 0.0000, 0.7197) [2 per cell]  6 O 1.89-1.94
Sn (0.1629, 0.5000, 0.4960) [2 per cell]  6 O 2.04-2.13
Sn (0.3298, 0.0000, 0.0013) [2 per cell]  6 O 2.04-2.15
O (0.0003, 0.0000, 0.8106) [2 per cell]  1 Li 1.80, 1 Co 1.89, 2 Cr 1.91
O (0.0005, 0.0000, 0.3098) [2 per cell]  1 Li 1.80, 2 Co 1.89, 1 Cr 1.92
O (0.0143, 0.5000, 0.3318) [2 per cell]  2 Co 1.90, 1 Li 1.92
O (0.0773, 0.2372, 0.6093) [4 per cell]  1 Li 1.87, 1 Co 1.94, 1 Cr 1.95, 1 Sn 2.04
O (0.1545, 0.0000, 0.1116) [2 per cell]  1 Li 1.85, 2 Co 1.92, 1 Sn 2.04
O (0.1608, 0.5000, 0.1142) [2 per cell]  2 Co 1.90, 1 Cr 1.91, 1 Li 2.01
O (0.2393, 0.2722, 0.3393) [4 per cell]  1 Li 1.88, 1 Co 1.91, 1 Cr 1.93
O (0.2542, 0.2246, 0.8394) [4 per cell]  1 Co 1.91, 1 Li 1.92, 1 Cr 1.95, 1 Sn 2.14
O (0.3299, 0.0000, 0.6104) [2 per cell]  1 Co 1.91, 2 Cr 1.92, 1 Li 2.04
O (0.3400, 0.5000, 0.6084) [2 per cell]  1 Li 1.92, 2 Cr 1.96, 1 Sn 2.04
O (0.4192, 0.2655, 0.1095) [4 per cell]  1 Li 1.89, 1 Co 1.93, 1 Cr 1.95, 1 Sn 2.04
O (0.4829, 0.0000, 0.8425) [2 per cell]  1 Li 1.88, 2 Cr 1.93

## Properties
The total DFT energy (no corrections) comes out at -7.2132 eV/atom. The raw formation energy comes out at -1.702 eV/atom.